# 1
10
Lattice="4.2256 0.0000 0.9652 1.7781 7.3383 1.9479 -0.0445 -0.0118 9.9268" Properties=species:S:1:pos:R:3 comment="GGA-PBE Ho4TlTe5, relaxed" formation_energy_uncorrected_ev_per_atom=-1.13 mass_density_kg_m3=8093 polymorph_energy_mev_per_atom=0 final_energy_ev_per_atom=-4.773 sg="C2/m (12)" pbc="T T T"
Te 3.7775 4.8686 2.9272
Te 2.1818 2.4579 9.9127
Te 2.4478 6.6963 8.7481
Ho 1.5110 2.8141 3.1171
Te 0.8668 3.6633 5.9373
Ho 2.8583 1.6307 6.9510
Ho 4.4482 4.5124 9.7228
Te 3.5114 0.6302 4.0918
Tl 0.0000 0.0000 0.0000
Ho 3.1009 5.6958 5.8889


# 2
4
Lattice="10.7196 0.0312 0.0186 9.8173 4.3047 0.0186 9.8173 2.0727 3.7729" Properties=species:S:1:pos:R:3 comment="GGA-PBE Sr3Ir, relaxed" mass_density_kg_m3=4390 e_form_mev_per_atom=28 final_energy_ev_per_atom=-3.448 sg="R-3m (166)" pbc="T T T"
Sr 8.6217 1.8203 1.0822
Sr 21.7325 4.5884 2.7278
Sr 15.1771 3.2043 1.9050
Ir 0.0000 0.0000 0.0000